# PBE BaLuIn2, optimized geometry
data_BaLuIn2
_chemical_formula_sum 'Ba1 Lu1 In2'
_space_group_name_H-M_alt 'P 1'
_space_group_IT_number 1
_cell_length_a 3.916
_cell_length_b 3.916
_cell_length_c 8.166
_cell_angle_alpha 90.00
_cell_angle_beta 90.00
_cell_angle_gamma 90.00
loop_
_space_group_symop_operation_xyz
'x,y,z'
loop_
_atom_site_label
_atom_site_fract_x
_atom_site_fract_y
_atom_site_fract_z
In1 0.000 0.000 0.203
In2 0.000 0.000 0.797
Ba1 0.500 0.500 0.500
Lu1 0.500 0.500 0.000
# * magnetic moment: 0.0 μB/f.u.
# * DOS(E_F): 2.85 states/eV/cell
# * space-group type: P4/mmm, No. 123
# * uncorrected energy: -3.38 eV/atom
# * calculated density: 7.2 g/cm³